A plane-wave DFT calculation with GGA+U was carried out for a relaxed K3CaFe2F9 crystal.

Output
**E_tot**: -4.999 eV/atom
**DOS at the Fermi energy**: 9.1 states/eV per cell
**Magnetic moment**: 0.533 μB per atom

Cell: 6.0197 6.0197 7.4469 Å, 90.00 90.00 120.00°
Space group P-3m1 (No. 164)
Asymmetric unit:
K: 0.0000 0.0000 0.0000 (multiplicity 1)
K: 0.3333 0.6667 0.6765 (multiplicity 2)
Ca: 0.0000 0.0000 0.5000 (multiplicity 1)
Fe: 0.3333 0.6667 0.1579 (multiplicity 2)
F: 0.0000 0.5000 0.0000 (multiplicity 3)
F: 0.1721 0.3442 0.3227 (multiplicity 6)